6
Lattice="-2.6727 -5.7492 -0.3629 3.4590 -4.9994 -1.8355 1.5595 -4.4975 4.2034" Properties=species:S:1:pos:R:3 comment="KCdHg4 | Alexandria | PBE | relaxed" formation_enthalpy_0k_ev_per_atom=-0.0862 total_magnetization_mub_per_fu=0.00 polymorph_energy_mev_per_atom=45 crystal_system=cubic pbc="T T T"
Cd 0.0000 0.0000 0.0000
Hg 1.4668 -9.5336 1.2538
Hg 2.8065 -6.6519 1.4357
K 0.5864 -3.8115 0.5013
Hg 0.6852 -7.2792 -0.8531
Hg -0.2669 -7.0277 2.1738

***

18
Lattice="-0.6046 2.3203 9.5844 -1.6846 -7.0661 6.6965 7.1825 -2.7363 6.2077" Properties=species:S:1:pos:R:3 comment="KCd2Hg6 | Alexandria | PBE | relaxed" formation_enthalpy_0k_ev_per_atom=0.0296 total_magnetization_mub_per_fu=0.00 polymorph_energy_mev_per_atom=89 crystal_system=cubic pbc="T T T"
Cd -0.2306 -4.4683 6.1593
Cd 4.2029 -2.3034 5.9149
Hg 4.4962 -2.0915 13.5005
Hg 1.6204 -7.2611 14.6102
Hg 2.1562 -2.6045 16.0430
Hg 5.1837 -8.6187 17.6899
Hg 0.9329 -0.7340 10.4208
Hg 6.0194 -5.1131 14.3677
K 2.4466 -3.7411 11.2443
Cd 0.3094 0.2249 7.6033
Cd 0.6117 -0.9353 2.8111
Hg 1.3205 -6.1100 19.3651
Hg 4.7961 -3.2426 8.7456
K 3.6700 -5.6116 16.8664
Hg 0.3971 -5.3906 8.9881
Hg 0.0972 -4.2395 13.7430
Hg 5.7195 -3.9620 19.1226
Hg 3.9604 -6.7481 12.0678

***

21
Lattice="-2.2839 -3.2071 2.5598 5.1327 -8.5557 -6.1396 5.1035 4.1149 9.7089" Properties=species:S:1:pos:R:3 comment="K2Cd12Hg7 | Alexandria | PBE | relaxed" formation_enthalpy_0k_ev_per_atom=-0.0642 total_magnetization_mub_per_fu=0.00 crystal_system=trigonal pbc="T T T"
Hg 5.2349 -7.2005 -1.8514
Hg 6.0154 -4.6595 2.0286
Hg 2.7173 -0.4474 7.9804
Cd 3.1619 -9.4343 -2.1167
K 4.5905 -0.8427 5.0119
Hg -1.1420 -1.6036 1.2799
Cd 7.7389 -3.4804 4.2779
Cd 6.5205 -7.0802 3.8294
Cd 0.2133 -4.1675 1.8512
Cd 3.6800 -2.8482 1.7088
Cd 4.7904 1.7864 8.2457
Hg 1.9368 -2.9885 4.1005
Cd 1.4318 -0.5678 2.2997
Cd 5.1184 -1.8599 8.8585
Cd 4.2723 -4.7998 4.4203
Hg 5.8212 -3.7205 6.6491
Cd 2.8338 -5.7880 -2.7295
Hg 2.1310 -3.9274 -0.5200
K 3.3618 -6.8053 1.1171
Cd 7.2695 -6.5868 0.2274
Cd 0.6827 -1.0611 5.9017

***

20
Lattice="6.9921 0.0000 0.0000 3.4960 9.6048 -1.0060 3.4960 1.5789 9.5274" Properties=species:S:1:pos:R:3 comment="K3Cd5Hg2 | Alexandria | PBE | relaxed" formation_enthalpy_0k_ev_per_atom=-0.1024 total_magnetization_mub_per_fu=0.00 crystal_system=orthorhombic pbc="T T T"
Hg 3.4961 6.6703 -0.6625
K 10.4881 8.7752 2.7992
K 5.2441 0.0000 0.0000
K 3.4960 2.4084 5.7222
Cd 5.2441 8.3512 6.3631
Cd 8.7401 2.8325 2.1582
K 6.9921 6.1562 0.8036
Cd 5.2441 5.5918 4.2607
Cd 3.4960 5.2088 1.8390
K 6.9921 5.0275 7.7178
Hg 10.4881 4.5133 9.1838
Cd 8.7401 5.5918 4.2607
K 1.7480 0.0000 0.0000
Cd 10.4881 5.9749 6.6824
Hg 6.9921 10.0522 1.9144
Cd 5.2441 2.8325 2.1582
Cd 8.7401 8.3512 6.3631
Hg 6.9921 1.1314 6.6070
Cd 6.9921 3.1553 4.5340
Cd 6.9921 8.0284 3.9873

***

7
Lattice="-2.7380 1.9795 -5.4411 -1.4808 -6.0580 -1.4589 -10.7175 -1.0638 1.2365" Properties=species:S:1:pos:R:3 comment="K4Cd2Hg | Alexandria | PBE | relaxed" formation_enthalpy_0k_ev_per_atom=0.0417 total_magnetization_mub_per_fu=0.00 polymorph_energy_mev_per_atom=147 crystal_system=tetragonal pbc="T T T"
K -0.7404 -3.0290 -0.7294
Cd -6.7247 -3.7945 -5.5356
Hg 0.0000 0.0000 0.0000
Cd -8.2115 -1.3477 -0.1278
K -9.8186 -3.4439 -3.8512
K -1.3690 0.9898 -2.7206
K -5.1176 -1.6984 -1.8122

***

13
Lattice="6.1235 0.0000 0.0000 3.0618 7.4201 -0.0455 3.0618 0.1322 7.4191" Properties=species:S:1:pos:R:3 comment="KCd6Hg6 | Alexandria | PBE | relaxed" formation_enthalpy_0k_ev_per_atom=-0.0582 total_magnetization_mub_per_fu=0.00 crystal_system=orthorhombic pbc="T T T"
Cd 1.5309 0.0661 3.7095
Cd 6.1235 1.9144 5.5937
Hg 3.0618 1.3612 1.3290
Hg 9.1853 6.1911 6.0446
Hg 3.0618 2.7101 4.7787
Hg 3.0618 4.8422 2.5950
Hg 6.1235 2.5723 2.5114
K 0.0000 0.0000 0.0000
Hg 6.1235 4.9800 4.8622
Cd 4.5926 0.0661 3.7095
Cd 1.5309 3.7101 -0.0227
Cd 4.5926 3.7101 -0.0227
Cd 6.1235 5.6379 1.7799

***

5
Lattice="6.5498 0.0000 0.0000 0.0000 6.5498 0.0000 0.0000 0.0000 6.5498" Properties=species:S:1:pos:R:3 comment="KCdHg3 | Alexandria | PBE | relaxed" formation_enthalpy_0k_ev_per_atom=0.2096 total_magnetization_mub_per_fu=0.00 polymorph_energy_mev_per_atom=375 crystal_system=cubic pbc="T T T"
Hg 3.2749 0.0000 0.0000
K 0.0000 0.0000 0.0000
Hg 0.0000 0.0000 3.2749
Hg 0.0000 3.2749 0.0000
Cd 3.2749 3.2749 3.2749

***

10
Lattice="-0.8864 0.1675 3.0824 -5.8549 1.4752 -1.7639 -0.3418 -13.9770 0.6611" Properties=species:S:1:pos:R:3 comment="KCd2Hg7 | Alexandria | PBE | relaxed" formation_enthalpy_0k_ev_per_atom=-0.0435 total_magnetization_mub_per_fu=0.00 polymorph_energy_mev_per_atom=0 crystal_system=orthorhombic pbc="T T T"
Hg -1.3266 -5.3724 -0.0896
Hg -2.5759 -2.3032 1.0576
Hg -4.8701 -7.1294 -1.0132
Hg -1.5580 -10.7742 1.8105
Cd -2.4010 -7.8448 1.4089
K 0.0000 0.0000 0.0000
Hg -5.5251 -1.5601 0.1691
Hg -4.5072 -10.0311 0.9220
Cd -4.6821 -4.4895 0.5706
Hg -3.3707 0.8213 0.6592

***

12
Lattice="-3.9247 0.2515 -2.6292 -6.9125 -2.0127 5.8699 -4.8588 7.0145 3.6680" Properties=species:S:1:pos:R:3 comment="KCd3Hg2 | Alexandria | PBE | relaxed" formation_enthalpy_0k_ev_per_atom=-0.0726 total_magnetization_mub_per_fu=0.00 crystal_system=orthorhombic pbc="T T T"
Cd -8.8289 5.3554 5.1796
Cd -6.1986 1.1150 5.1036
Hg -7.1519 5.6893 2.7083
K -4.9721 0.8873 -1.0048
Hg -11.2581 3.6272 4.3846
Cd -6.0147 3.6512 0.8158
Cd -9.4973 4.1382 1.8051
Hg -8.5440 -0.4360 4.2004
Hg -4.4378 1.6260 2.5241
Cd -6.8671 -0.1022 1.7291
Cd -9.6812 1.6021 6.0929
K -10.7238 4.3660 7.9135

***

10
Lattice="-3.2713 2.3682 3.2087 0.8136 -3.6665 3.5355 9.0763 6.3896 4.5376" Properties=species:S:1:pos:R:3 comment="K2CdHg7 | Alexandria | PBE | relaxed" formation_enthalpy_0k_ev_per_atom=-0.1676 total_magnetization_mub_per_fu=0.00 polymorph_energy_mev_per_atom=0 crystal_system=tetragonal pbc="T T T"
K 5.1597 5.9679 5.0015
Hg 0.0000 0.0000 0.0000
K 2.6878 -0.2274 2.9081
Hg -0.5052 1.9799 2.1695
Hg 8.3527 3.7606 5.7402
Cd -1.2288 -0.6491 3.3721
Hg 6.1524 2.2116 4.6402
Hg 3.3093 2.5457 5.6409
Hg 4.5382 3.1948 2.2688
Hg 1.6951 3.5289 3.2695

***

10
Lattice="-0.3646 -4.7579 -2.0643 3.6544 -4.5407 3.2726 -8.8178 -4.6884 5.8162" Properties=species:S:1:pos:R:3 comment="K2Cd2Hg | Alexandria | PBE | relaxed" formation_enthalpy_0k_ev_per_atom=-0.1385 total_magnetization_mub_per_fu=0.00 polymorph_energy_mev_per_atom=0 crystal_system=monoclinic pbc="T T T"
K -4.9076 -6.9950 3.8945
K -0.1139 -3.2679 1.0046
Hg -2.4626 -8.2350 6.3206
K -0.6205 -6.9919 3.1301
K -5.4142 -10.7191 6.0199
Cd -7.7270 -9.4551 3.5152
Cd 2.1989 -4.5318 3.5094
Cd -2.4995 -9.9951 3.8364
Cd -3.0285 -3.9918 3.1881
Hg -3.0654 -5.7520 0.7039

***

3
Lattice="6.6038 0.0320 -0.1881 4.1159 5.1643 0.1881 -5.2788 -2.7652 2.8520" Properties=species:S:1:pos:R:3 comment="KCdHg | Alexandria | PBE | relaxed" formation_enthalpy_0k_ev_per_atom=-0.1385 total_magnetization_mub_per_fu=0.00 polymorph_energy_mev_per_atom=41 crystal_system=tetragonal pbc="T T T"
Hg 3.8948 1.8880 0.0000
Cd 10.3720 5.0278 0.0000
K 7.1726 3.4769 0.0000